Entry 1:
K2MnGeF6 | GGA+U | optimized geometry

As for the total energy: -0.37578 Ry per atom.

Lattice parameters (Å, degrees): 6.159 6.159 6.092 59.65 59.63 59.98
Last column: magnetic moment on the atom in μB.
Atoms (fractional coordinates):
K 0.567 0.567 0.298  0.00
K 0.065 0.065 0.805  0.00
Mn 0.816 0.816 0.552  4.68
Ge 0.316 0.316 0.052  0.02
F 0.573 0.117 0.307  0.02
F 0.116 0.004 0.305  0.02
F 0.003 0.575 0.305  0.02
F 0.516 0.628 0.798  0.02
F 0.629 0.058 0.798  0.02
F 0.060 0.516 0.796  0.02

=====

Entry 2:
KMnGeF5 | GGA+U | optimized geometry

As for the total energy: -0.38898 Ry per atom.

Lattice parameters (Å, degrees): 6.255 6.255 8.639 109.40 109.40 100.36
Last column: magnetic moment on the atom in μB.
Atoms (fractional coordinates):
K 0.318 0.682 0.250  0.00
K 0.682 0.318 0.750  0.00
Mn 0.000 0.000 0.500  4.69
Mn 0.000 0.000 0.000  4.69
Ge 0.724 0.276 0.250  0.01
Ge 0.276 0.724 0.750  0.01
F 0.024 0.976 0.250  0.04
F 0.976 0.024 0.750  0.04
F 0.891 0.310 0.064  0.02
F 0.109 0.690 0.936  0.02
F 0.690 0.109 0.436  0.02
F 0.310 0.891 0.564  0.02
F 0.770 0.619 0.377  0.01
F 0.230 0.381 0.623  0.01
F 0.381 0.230 0.123  0.01
F 0.619 0.770 0.877  0.01